1.
Ti3HgN: relaxed, PBE-GGA.

Values from the calculation:
Uncorrected formation energy ... -0.77 eV/atom
N(E_F) ... 0.706 states/eV per atom
Symmetry ... Cm (8)

```
Ti3HgN
1.0
6.449 -1.530 0.000
6.449 1.530 0.000
-6.271 0.000 7.633
Ti Hg N
6 2 2
Cartesian
0.000 0.000 0.000
-0.658 0.000 2.975
-1.456 0.000 5.657
3.269 0.000 3.948
2.590 0.000 6.677
7.354 0.000 4.932
4.160 0.000 0.966
8.081 0.000 1.963
-3.488 0.000 5.307
5.338 0.000 4.260
```



2.
Ti3HgN: relaxed, PBE-GGA.

Values from the calculation:
Uncorrected formation energy ... -0.16 eV/atom
N(E_F) ... 1.033 states/eV per atom
Symmetry ... I-4m2 (119)

```
Ti3HgN
1.0
-2.642 2.642 6.118
2.642 -2.642 6.118
2.642 2.642 -6.118
Ti Hg N
6 2 2
Cartesian
0.000 0.000 2.514
2.642 1.262 1.360
1.262 2.642 -1.360
1.381 0.000 4.758
0.000 0.000 9.722
0.000 1.381 7.478
0.000 2.642 1.499
0.000 2.642 4.619
2.642 0.000 3.059
0.000 0.000 6.118
```



3.
Ti2HgN: relaxed, PBE-GGA.

Values from the calculation:
Uncorrected formation energy ... -0.54 eV/atom
N(E_F) ... 0.529 states/eV per atom
E above lowest polymorph ... 474 meV per atom
Symmetry ... I-42d (122)

```
Ti2HgN
1.0
-3.089 3.089 3.435
3.089 -3.089 3.435
3.089 3.089 -3.435
Ti Hg N
4 2 2
Cartesian
4.633 0.865 -0.859
0.865 1.544 0.859
-1.544 2.223 2.576
2.223 1.544 4.293
3.089 0.000 1.717
0.000 0.000 3.435
0.000 0.000 0.000
0.000 3.089 1.717
```



4.
Ti3HgN: relaxed, PBE-GGA.

Values from the calculation:
Uncorrected formation energy ... -0.67 eV/atom
N(E_F) ... 1.077 states/eV per atom
Symmetry ... P2_1/c (14)

```
Ti3HgN
1.0
7.755 0.000 0.000
0.000 5.466 0.000
-2.881 0.000 7.317
Ti Hg N
12 4 4
Cartesian
-0.648 0.468 2.531
-2.089 2.266 6.190
-0.166 3.055 3.897
1.274 5.144 0.238
0.339 0.760 5.543
1.780 1.973 1.885
3.094 3.493 5.432
4.534 4.706 1.774
3.599 0.322 7.079
5.040 2.411 3.420
6.963 3.201 1.127
5.522 4.999 4.786
0.453 3.695 6.518
1.894 4.504 2.859
2.980 0.962 4.458
4.421 1.771 0.799
0.204 1.357 0.739
-1.237 1.376 4.398
6.110 4.090 2.919
4.670 4.109 6.578
```



5.
Ti3HgN: relaxed, PBE-GGA.

Values from the calculation:
Uncorrected formation energy ... -0.84 eV/atom
N(E_F) ... 1.122 states/eV per atom
Symmetry ... Cmmm (65)

```
Ti3HgN
1.0
2.978 -6.058 0.000
2.978 6.058 0.000
0.000 0.000 4.119
Ti Hg N
6 2 2
Cartesian
1.489 3.029 2.060
2.978 4.546 0.000
1.382 0.000 2.060
1.489 -3.029 2.060
4.574 0.000 2.060
2.978 -4.546 0.000
2.978 1.554 0.000
2.978 -1.554 0.000
2.978 4.498 2.060
2.978 -4.498 2.060
```



6.
Ti16Hg4N5: relaxed, PBE-GGA.

Values from the calculation:
Uncorrected formation energy ... 0.60 eV/atom
N(E_F) ... 1.056 states/eV per atom
Symmetry ... P4/mmm (123)

```
Ti16Hg4N5
1.0
3.987 0.000 0.000
0.000 3.987 0.000
0.000 0.000 32.437
Ti Hg N
16 4 5
Cartesian
0.000 0.000 0.000
0.000 0.000 2.402
0.000 0.000 8.159
0.000 0.000 16.218
0.000 0.000 24.278
0.000 0.000 30.034
0.000 1.993 0.000
0.000 1.993 10.184
0.000 1.993 14.651
0.000 1.993 17.786
0.000 1.993 22.252
1.993 0.000 0.000
1.993 0.000 10.184
1.993 0.000 14.651
1.993 0.000 17.786
1.993 0.000 22.252
0.000 0.000 5.260
0.000 0.000 12.433
0.000 0.000 20.003
0.000 0.000 27.177
1.993 1.993 1.374
1.993 1.993 10.330
1.993 1.993 16.218
1.993 1.993 22.106
1.993 1.993 31.062
```